Entry 1:
The following is a DFT calculation (PBE-GGA) of crystalline Nd4Tl3Pd at its relaxed geometry.

Results
The value obtained for the density of states at the Fermi level is 8.3 states/eV/cell. As for the formation energy: -0.424 eV/atom. For the energy above the lowest structure with this stoichiometry, the calculation gives 49 meV/atom.

Cell lengths 3.993, 4.939, 11.960 Å; angles 90.00, 90.00, 90.00 degrees
Space group Pmm2 (No. 25)
Asymmetric unit:
Nd: 0.000 0.000 0.000 x1
Nd: 0.000 0.500 0.261 x1
Nd: 0.500 0.000 0.455 x1
Nd: 0.500 0.500 0.770 x1
Tl: 0.000 0.000 0.708 x1
Tl: 0.000 0.500 0.534 x1
Tl: 0.500 0.500 0.041 x1
Pd: 0.500 0.000 0.201 x1



Entry 2:
The following is a DFT calculation (PBE-GGA) of crystalline Nd4TlPd at its relaxed geometry.

Results
The value obtained for the density of states at the Fermi level is 113.3 states/eV/cell. As for the formation energy: -0.406 eV/atom. For the energy above the lowest structure with this stoichiometry, the calculation gives 0 meV/atom.

Cell lengths 14.250, 14.250, 14.250 Å; angles 90.00, 90.00, 90.00 degrees
Space group F-43m (No. 216)
Asymmetric unit:
Nd: 0.000 0.000 0.188 x24
Nd: 0.058 0.250 0.750 x24
Nd: 0.102 0.102 0.398 x16
Tl: 0.166 0.166 0.166 x16
Pd: 0.106 0.106 0.606 x16



Entry 3:
The following is a DFT calculation (PBE-GGA) of crystalline Nd4Tl5Pd2 at its relaxed geometry.

Results
The value obtained for the density of states at the Fermi level is 7.6 states/eV/cell. As for the formation energy: -0.489 eV/atom.

Cell lengths 8.062, 3.813, 9.883 Å; angles 90.00, 93.96, 90.00 degrees
Space group P2/m (No. 10)
Asymmetric unit:
Nd: 0.193 0.000 0.350 x2
Nd: 0.221 0.000 0.926 x2
Tl: 0.153 0.500 0.639 x2
Tl: 0.452 0.500 0.166 x2
Tl: 0.500 0.500 0.500 x1
Pd: 0.076 0.500 0.133 x2



Entry 4:
The following is a DFT calculation (PBE-GGA) of crystalline Nd3TlPd8 at its relaxed geometry.

Results
The value obtained for the density of states at the Fermi level is 23.3 states/eV/cell. As for the formation energy: -0.684 eV/atom.

Cell lengths 5.5064, 5.5064, 26.9869 Å; angles 90.00, 90.00, 120.00 degrees
Space group R3m (No. 160, hexagonal axes)
Asymmetric unit:
Nd: 0.0000 0.0000 0.0000 x3
Nd: 0.0000 0.0000 0.1292 x3
Nd: 0.0000 0.0000 0.6143 x3
Tl: 0.0000 0.0000 0.4917 x3
Pd: 0.0000 0.0000 0.3108 x3
Pd: 0.0000 0.0000 0.8106 x3
Pd: 0.0028 0.5014 0.5616 x9
Pd: 0.1676 0.3353 0.3929 x9



Entry 5:
The following is a DFT calculation (PBE-GGA) of crystalline NdTlPd at its relaxed geometry.

Results
The value obtained for the density of states at the Fermi level is 6.9 states/eV/cell. As for the formation energy: -0.643 eV/atom. For the energy above the lowest structure with this stoichiometry, the calculation gives 0 meV/atom.

Cell lengths 7.9810, 7.9810, 3.9191 Å; angles 90.00, 90.00, 120.00 degrees
Space group P-62m (No. 189)
Asymmetric unit:
Nd: 0.0000 0.5949 0.0000 x3
Tl: 0.0000 0.2628 0.5000 x3
Pd: 0.0000 0.0000 0.0000 x1
Pd: 0.3333 0.6667 0.5000 x2



Entry 6:
The following is a DFT calculation (PBE-GGA) of crystalline Nd5TlPd2 at its relaxed geometry.

Results
The value obtained for the density of states at the Fermi level is 32.9 states/eV/cell. As for the formation energy: -0.497 eV/atom.

Cell lengths 8.141, 8.141, 13.797 Å; angles 90.00, 90.00, 90.00 degrees
Space group I4/mcm (No. 140)
Asymmetric unit:
Nd: 0.000 0.000 0.000 x4
Nd: 0.159 0.341 0.141 x16
Tl: 0.000 0.000 0.250 x4
Pd: 0.131 0.369 0.500 x8



Entry 7:
The following is a DFT calculation (PBE-GGA) of crystalline NdTlPd3 at its relaxed geometry.

Results
The value obtained for the density of states at the Fermi level is 7.5 states/eV/cell. As for the formation energy: -0.465 eV/atom.

Cell lengths 5.628, 7.902, 9.407 Å; angles 90.00, 90.00, 90.00 degrees
Space group Imma (No. 74)
Asymmetric unit:
Nd: 0.000 0.250 0.006 x4
Tl: 0.000 0.000 0.500 x4
Pd: 0.000 0.250 0.703 x4
Pd: 0.250 0.061 0.250 x8



Entry 8:
The following is a DFT calculation (PBE-GGA) of crystalline NdTl5Pd at its relaxed geometry.

Results
The value obtained for the density of states at the Fermi level is 4.3 states/eV/cell. As for the formation energy: -0.224 eV/atom.

Cell lengths 4.910, 4.910, 7.753 Å; angles 90.00, 90.00, 90.00 degrees
Space group P4/mmm (No. 123)
Asymmetric unit:
Nd: 0.000 0.000 0.000 x1
Tl: 0.000 0.500 0.298 x4
Tl: 0.500 0.500 0.000 x1
Pd: 0.000 0.000 0.500 x1



Entry 9:
The following is a DFT calculation (PBE-GGA) of crystalline NdTlPd at its relaxed geometry.

Results
The value obtained for the density of states at the Fermi level is 11.9 states/eV/cell. As for the formation energy: -0.625 eV/atom. For the energy above the lowest structure with this stoichiometry, the calculation gives 18 meV/atom.

Cell lengths 14.025, 3.886, 8.028 Å; angles 90.00, 90.00, 90.00 degrees
Space group Pmma (No. 51)
Asymmetric unit:
Nd: 0.049 0.000 0.229 x4
Nd: 0.250 0.000 0.847 x2
Tl: 0.115 0.500 0.574 x4
Tl: 0.250 0.500 0.188 x2
Pd: 0.094 0.500 0.939 x4
Pd: 0.250 0.000 0.451 x2



Entry 10:
The following is a DFT calculation (PBE-GGA) of crystalline NdTl4Pd15 at its relaxed geometry.

Results
The value obtained for the density of states at the Fermi level is 18.9 states/eV/cell. As for the formation energy: -0.302 eV/atom.

Cell lengths 4.130, 4.130, 20.371 Å; angles 90.00, 90.00, 90.00 degrees
Space group P4/mmm (No. 123)
Asymmetric unit:
Nd: 0.000 0.000 0.000 x1
Tl: 0.000 0.000 0.205 x2
Tl: 0.000 0.000 0.401 x2
Pd: 0.000 0.500 0.105 x4
Pd: 0.000 0.500 0.303 x4
Pd: 0.000 0.500 0.500 x2
Pd: 0.500 0.500 0.000 x1
Pd: 0.500 0.500 0.203 x2
Pd: 0.500 0.500 0.401 x2



Entry 11:
The following is a DFT calculation (PBE-GGA) of crystalline Nd4TlPd2 at its relaxed geometry.

Results
The value obtained for the density of states at the Fermi level is 15.2 states/eV/cell. As for the formation energy: -0.418 eV/atom.

Cell lengths 4.9582, 4.9582, 29.4189 Å; angles 90.00, 90.00, 120.00 degrees
Space group R-3m (No. 166, hexagonal axes)
Asymmetric unit:
Nd: 0.0000 0.0000 0.1162 x6
Nd: 0.0000 0.0000 0.2960 x6
Tl: 0.0000 0.0000 0.5000 x3
Pd: 0.0000 0.0000 0.3985 x6



Entry 12:
The following is a DFT calculation (PBE-GGA) of crystalline Nd3TlPd12 at its relaxed geometry.

Results
The value obtained for the density of states at the Fermi level is 11.0 states/eV/cell. As for the formation energy: -0.625 eV/atom.

Cell lengths 4.189, 4.189, 16.595 Å; angles 90.00, 90.00, 90.00 degrees
Space group P4/mmm (No. 123)
Asymmetric unit:
Nd: 0.000 0.000 0.000 x1
Nd: 0.000 0.000 0.255 x2
Tl: 0.000 0.000 0.500 x1
Pd: 0.000 0.500 0.127 x4
Pd: 0.000 0.500 0.381 x4
Pd: 0.500 0.500 0.000 x1
Pd: 0.500 0.500 0.254 x2
Pd: 0.500 0.500 0.500 x1